The following is a GGA-PBE calculation of PrAl5 after structural relaxation, from the Alexandria database. Values from VASP.

Computed properties:
The volume is 19.75 A^3/atom. The density of states at the Fermi level is 0.270 states/eV per atom. As for the total energy: -0.151 Ha/atom. As for the space group: Cmmm (65).

The structure in Quantum ESPRESSO input format:
```
&SYSTEM
  ibrav = 0, nat = 6, ntyp = 2
/
ATOMIC_SPECIES
Pr 140.91 Pr.upf
Al 26.98 Al.upf
CELL_PARAMETERS angstrom
4.355 0.000 0.000
0.000 4.327 0.000
0.000 -2.163 6.289
ATOMIC_POSITIONS crystal
Pr 0.000 0.000 0.000
Al 0.500 0.824 0.648
Al 0.000 0.681 0.363
Al 0.500 0.500 0.000
Al 0.000 0.319 0.637
Al 0.500 0.176 0.352
```

=====

The following is a GGA-PBE calculation of Pr3Al2 after structural relaxation, from the Alexandria database. Values from VASP.

Computed properties:
The volume is 28.83 A^3/atom. The density of states at the Fermi level is 1.621 states/eV per atom. The distance to the lowest polymorph of the same formula comes out at 22 meV/atom. As for the space group: P4_2/mnm (136).

The structure in Quantum ESPRESSO input format:
```
&SYSTEM
  ibrav = 0, nat = 20, ntyp = 2
/
ATOMIC_SPECIES
Pr 140.91 Pr.upf
Al 26.98 Al.upf
CELL_PARAMETERS angstrom
-6.669 -3.999 0.192
1.431 -1.992 8.253
-4.194 7.111 2.443
ATOMIC_POSITIONS crystal
Pr 0.250 0.000 0.500
Pr 0.750 0.000 0.500
Pr 0.250 0.500 0.000
Pr 0.750 0.500 0.000
Pr 0.000 0.351 0.351
Pr 0.000 0.649 0.649
Pr 0.500 0.149 0.851
Pr 0.500 0.851 0.149
Pr 0.000 0.202 0.798
Pr 0.000 0.798 0.202
Pr 0.500 0.702 0.702
Pr 0.500 0.298 0.298
Al 0.187 0.117 0.117
Al 0.187 0.883 0.883
Al 0.687 0.383 0.617
Al 0.687 0.617 0.383
Al 0.313 0.383 0.617
Al 0.313 0.617 0.383
Al 0.813 0.117 0.117
Al 0.813 0.883 0.883
```

=====

The following is a GGA-PBE calculation of PrAl5 after structural relaxation, from the Alexandria database. Values from VASP.

Computed properties:
The volume is 20.58 A^3/atom. The density of states at the Fermi level is 0.399 states/eV per atom. As for the total energy: -0.151 Ha/atom. As for the space group: Immm (71).

The structure in Quantum ESPRESSO input format:
```
&SYSTEM
  ibrav = 0, nat = 6, ntyp = 2
/
ATOMIC_SPECIES
Pr 140.91 Pr.upf
Al 26.98 Al.upf
CELL_PARAMETERS angstrom
0.298 -4.295 -0.984
5.476 -1.884 -0.026
0.940 -3.278 4.681
ATOMIC_POSITIONS crystal
Pr 0.500 0.000 0.000
Al 0.840 0.865 0.455
Al 0.500 0.500 0.500
Al 0.160 0.135 0.545
Al 0.160 0.545 0.135
Al 0.840 0.455 0.865
```

=====

The following is a GGA-PBE calculation of PrAl6 after structural relaxation, from the Alexandria database. Values from VASP.

Computed properties:
The volume is 25.97 A^3/atom. The density of states at the Fermi level is 0.355 states/eV per atom. The distance to the lowest polymorph of the same formula comes out at 586 meV/atom. As for the space group: Im-3m (229).

The structure in Quantum ESPRESSO input format:
```
&SYSTEM
  ibrav = 0, nat = 7, ntyp = 2
/
ATOMIC_SPECIES
Pr 140.91 Pr.upf
Al 26.98 Al.upf
CELL_PARAMETERS angstrom
-3.722 2.499 4.255
-1.855 -5.766 -1.230
5.796 -0.114 2.144
ATOMIC_POSITIONS crystal
Pr 0.000 0.000 0.000
Al 0.250 0.750 0.500
Al 0.500 0.750 0.250
Al 0.250 0.500 0.750
Al 0.750 0.250 0.500
Al 0.500 0.250 0.750
Al 0.750 0.500 0.250
```

=====

The following is a GGA-PBE calculation of Pr3Al11 after structural relaxation, from the Alexandria database. Values from VASP.

Computed properties:
The volume is 20.68 A^3/atom. The density of states at the Fermi level is 0.238 states/eV per atom. As for the total energy: -0.160 Ha/atom. As for the space group: Immm (71).

The structure in Quantum ESPRESSO input format:
```
&SYSTEM
  ibrav = 0, nat = 14, ntyp = 2
/
ATOMIC_SPECIES
Pr 140.91 Pr.upf
Al 26.98 Al.upf
CELL_PARAMETERS angstrom
-2.842 -7.683 -2.411
-2.632 -3.049 7.529
-0.995 5.353 -6.578
ATOMIC_POSITIONS crystal
Pr 0.000 0.000 0.000
Pr 0.317 0.317 0.000
Pr 0.683 0.683 0.000
Al 0.500 0.000 0.500
Al 0.284 0.500 0.784
Al 0.716 0.500 0.216
Al 0.966 0.334 0.632
Al 0.034 0.666 0.368
Al 0.702 0.334 0.368
Al 0.298 0.666 0.632
Al 0.862 0.137 0.726
Al 0.138 0.863 0.274
Al 0.411 0.137 0.274
Al 0.589 0.863 0.726
```

=====

The following is a GGA-PBE calculation of Pr5Al4 after structural relaxation, from the Alexandria database. Values from VASP.

Computed properties:
The volume is 28.46 A^3/atom. The density of states at the Fermi level is 0.914 states/eV per atom. As for the total energy: -0.170 Ha/atom. As for the space group: C2/m (12).

The structure in Quantum ESPRESSO input format:
```
&SYSTEM
  ibrav = 0, nat = 9, ntyp = 2
/
ATOMIC_SPECIES
Pr 140.91 Pr.upf
Al 26.98 Al.upf
CELL_PARAMETERS angstrom
-4.029 2.096 1.839
-3.386 -3.725 3.357
2.766 3.388 8.728
ATOMIC_POSITIONS crystal
Pr 0.112 0.190 0.587
Pr 0.888 0.810 0.413
Pr 0.761 0.645 0.834
Pr 0.239 0.355 0.166
Pr 0.000 0.000 0.000
Al 0.465 0.249 0.822
Al 0.535 0.751 0.178
Al 0.386 0.601 0.627
Al 0.614 0.399 0.373
```

=====

The following is a GGA-PBE calculation of PrAl3 after structural relaxation, from the Alexandria database. Values from VASP.

Computed properties:
The volume is 21.57 A^3/atom. The density of states at the Fermi level is 0.335 states/eV per atom. As for the total energy: -0.163 Ha/atom. As for the space group: P6_3/mmc (194).

The structure in Quantum ESPRESSO input format:
```
&SYSTEM
  ibrav = 0, nat = 8, ntyp = 2
/
ATOMIC_SPECIES
Pr 140.91 Pr.upf
Al 26.98 Al.upf
CELL_PARAMETERS angstrom
-1.365 0.432 -6.383
6.206 -0.585 1.985
-0.362 -4.635 -0.237
ATOMIC_POSITIONS crystal
Pr 0.667 0.333 0.750
Pr 0.333 0.667 0.250
Al 0.140 0.280 0.750
Al 0.860 0.140 0.250
Al 0.860 0.720 0.250
Al 0.140 0.860 0.750
Al 0.720 0.860 0.750
Al 0.280 0.140 0.250
```

=====

The following is a GGA-PBE calculation of Pr13Al2 after structural relaxation, from the Alexandria database. Values from VASP.

Computed properties:
The volume is 33.82 A^3/atom. The density of states at the Fermi level is 1.329 states/eV per atom. As for the total energy: -0.172 Ha/atom. As for the space group: P-1 (2).

The structure in Quantum ESPRESSO input format:
```
&SYSTEM
  ibrav = 0, nat = 15, ntyp = 2
/
ATOMIC_SPECIES
Pr 140.91 Pr.upf
Al 26.98 Al.upf
CELL_PARAMETERS angstrom
-2.087 1.570 6.041
-4.747 -7.173 -1.033
7.894 -1.784 5.490
ATOMIC_POSITIONS crystal
Pr 0.744 0.595 0.060
Pr 0.256 0.405 0.940
Pr 0.000 0.000 0.000
Pr 0.278 0.011 0.645
Pr 0.722 0.989 0.355
Pr 0.044 0.579 0.707
Pr 0.956 0.421 0.293
Pr 0.459 0.631 0.421
Pr 0.541 0.369 0.579
Pr 0.531 0.793 0.844
Pr 0.469 0.207 0.156
Pr 0.791 0.174 0.763
Pr 0.209 0.826 0.237
Al 0.879 0.787 0.541
Al 0.121 0.213 0.459
```

=====

The following is a GGA-PBE calculation of PrAl3 after structural relaxation, from the Alexandria database. Values from VASP.

Computed properties:
The volume is 21.12 A^3/atom. The density of states at the Fermi level is 0.304 states/eV per atom. As for the total energy: -0.160 Ha/atom. As for the space group: Pm-3m (221).

The structure in Quantum ESPRESSO input format:
```
&SYSTEM
  ibrav = 0, nat = 4, ntyp = 2
/
ATOMIC_SPECIES
Pr 140.91 Pr.upf
Al 26.98 Al.upf
CELL_PARAMETERS angstrom
-2.856 -3.305 -0.415
3.236 -2.882 0.690
-0.793 0.143 4.313
ATOMIC_POSITIONS crystal
Pr 0.000 0.500 0.417
Al 0.000 0.000 0.917
Al 0.500 0.000 0.417
Al 0.500 0.500 0.917
```

=====

The following is a GGA-PBE calculation of Pr4Al after structural relaxation, from the Alexandria database. Values from VASP.

Computed properties:
The volume is 38.22 A^3/atom. The density of states at the Fermi level is 1.964 states/eV per atom. The distance to the lowest polymorph of the same formula comes out at 393 meV/atom. As for the space group: Fd-3m (227).

The structure in Quantum ESPRESSO input format:
```
&SYSTEM
  ibrav = 0, nat = 10, ntyp = 2
/
ATOMIC_SPECIES
Pr 140.91 Pr.upf
Al 26.98 Al.upf
CELL_PARAMETERS angstrom
-4.259 -4.103 -5.602
-8.062 1.027 -0.545
-3.182 3.933 -6.384
ATOMIC_POSITIONS crystal
Pr 0.857 0.857 0.857
Pr 0.857 0.430 0.857
Pr 0.857 0.857 0.430
Pr 0.393 0.820 0.393
Pr 0.393 0.393 0.393
Pr 0.430 0.857 0.857
Pr 0.393 0.393 0.820
Pr 0.820 0.393 0.393
Al 0.250 0.250 0.250
Al 0.000 0.000 0.000
```

=====

The following is a GGA-PBE calculation of Pr4Al after structural relaxation, from the Alexandria database. Values from VASP.

Computed properties:
The volume is 35.47 A^3/atom. The density of states at the Fermi level is 1.359 states/eV per atom. The distance to the lowest polymorph of the same formula comes out at 0 meV/atom. As for the space group: I4_1/amd (141).

The structure in Quantum ESPRESSO input format:
```
&SYSTEM
  ibrav = 0, nat = 10, ntyp = 2
/
ATOMIC_SPECIES
Pr 140.91 Pr.upf
Al 26.98 Al.upf
CELL_PARAMETERS angstrom
7.761 -0.289 0.000
-3.372 6.996 0.000
-2.194 -3.353 6.652
ATOMIC_POSITIONS crystal
Pr 0.723 0.411 0.312
Pr 0.099 0.411 0.688
Pr 0.161 0.349 0.188
Pr 0.161 0.973 0.812
Pr 0.651 0.839 0.812
Pr 0.027 0.839 0.188
Pr 0.589 0.901 0.312
Pr 0.589 0.277 0.688
Al 0.500 0.500 0.000
Al 0.250 0.750 0.500
```

=====

The following is a GGA-PBE calculation of Pr2Al3 after structural relaxation, from the Alexandria database. Values from VASP.

Computed properties:
The volume is 24.95 A^3/atom. The density of states at the Fermi level is 0.792 states/eV per atom. As for the total energy: -0.168 Ha/atom. As for the space group: Cmce (64).

The structure in Quantum ESPRESSO input format:
```
&SYSTEM
  ibrav = 0, nat = 10, ntyp = 2
/
ATOMIC_SPECIES
Pr 140.91 Pr.upf
Al 26.98 Al.upf
CELL_PARAMETERS angstrom
-3.318 3.983 3.247
-2.757 -1.213 5.324
6.722 2.330 4.011
ATOMIC_POSITIONS crystal
Pr 0.157 0.157 0.598
Pr 0.843 0.843 0.402
Pr 0.343 0.343 0.098
Pr 0.657 0.657 0.902
Al 0.500 0.500 0.500
Al 0.000 0.000 0.000
Al 0.654 0.154 0.750
Al 0.846 0.346 0.250
Al 0.154 0.654 0.750
Al 0.346 0.846 0.250
```

=====

> Among the records above, which one has the lowest volume?

number 1

=====

Please write out number 8 again, unchanged.
The following is a GGA-PBE calculation of Pr13Al2 after structural relaxation, from the Alexandria database. Values from VASP.

Computed properties:
The volume is 33.82 A^3/atom. The density of states at the Fermi level is 1.329 states/eV per atom. As for the total energy: -0.172 Ha/atom. As for the space group: P-1 (2).

The structure in Quantum ESPRESSO input format:
```
&SYSTEM
  ibrav = 0, nat = 15, ntyp = 2
/
ATOMIC_SPECIES
Pr 140.91 Pr.upf
Al 26.98 Al.upf
CELL_PARAMETERS angstrom
-2.087 1.570 6.041
-4.747 -7.173 -1.033
7.894 -1.784 5.490
ATOMIC_POSITIONS crystal
Pr 0.744 0.595 0.060
Pr 0.256 0.405 0.940
Pr 0.000 0.000 0.000
Pr 0.278 0.011 0.645
Pr 0.722 0.989 0.355
Pr 0.044 0.579 0.707
Pr 0.956 0.421 0.293
Pr 0.459 0.631 0.421
Pr 0.541 0.369 0.579
Pr 0.531 0.793 0.844
Pr 0.469 0.207 0.156
Pr 0.791 0.174 0.763
Pr 0.209 0.826 0.237
Al 0.879 0.787 0.541
Al 0.121 0.213 0.459
```

=====

> Which of these has the lowest volume?

number 1